[1]
Computed, not measured: a relaxed Na3AlAs2 crystal at the PBEsol level of DFT.

Symmetry: No. 72
Energy of formation from the pure elements in eV/atom: -0.493
E_tot in eV/atom: -3.577

Structure (extended XYZ):
```
12
Lattice="-0.415 -4.748 -3.908 5.707 2.102 -3.160 1.099 -2.486 7.765" Properties=species:S:1:pos:R:3 pbc="T T T"
Na 5.799 -2.113 -2.909
Na 2.517 -1.024 0.977
Na 2.750 -0.136 -2.557
Na 0.593 -3.020 3.606
Na 2.543 -2.510 -4.511
Na 3.874 -4.109 -0.280
Al -0.311 -3.561 -2.931
Al -0.104 -1.187 -0.977
As 5.336 0.881 -1.637
As 4.662 -2.388 2.406
As 1.729 -2.745 -1.709
As 1.056 -6.014 2.333
```



[2]
Computed, not measured: a relaxed Na3Al2As3O12 crystal at the PBEsol level of DFT.

Symmetry: No. 5
E_tot in eV/atom: -6.446

Structure (extended XYZ):
```
80
Lattice="9.809 -0.015 0.014 0.866 9.869 0.017 -0.866 -0.798 9.837" Properties=species:S:1:pos:R:3 pbc="T T T"
As 7.862 5.995 6.549
As 4.661 8.143 0.443
As 9.591 9.240 1.672
As 5.297 3.778 8.267
As 6.875 2.943 3.343
As 5.148 -0.247 8.165
As 0.218 0.888 9.360
As 2.934 3.073 3.223
As 4.511 7.911 4.462
As 0.480 1.120 5.339
As 9.329 5.213 1.571
As 1.947 6.016 6.529
Na 4.406 1.250 5.356
Na 0.572 6.737 9.450
Na 2.086 6.661 2.920
Na 9.237 8.846 7.509
Na 2.732 4.921 0.026
Na 7.077 -0.395 4.920
Na 7.723 2.345 6.893
Na 5.403 5.220 1.702
Na 2.291 2.964 7.165
Na 4.171 2.203 0.264
Na 7.518 6.881 3.559
Na 5.638 0.066 2.231
O 0.702 -0.570 8.588
O 3.137 1.366 3.234
O 3.588 7.486 8.532
O 8.478 4.553 5.877
O 8.840 0.542 5.946
O 6.336 8.046 0.812
O 9.242 3.500 1.167
O 6.672 3.095 1.642
O 1.331 5.466 5.036
O 8.349 0.953 8.999
O 6.221 7.869 8.179
O 8.507 7.372 5.858
O 4.357 8.154 6.205
O 5.429 3.539 6.567
O 8.594 2.885 3.732
O 0.613 2.804 5.648
O 9.107 8.591 0.155
O 1.765 7.713 6.581
O 8.508 1.131 1.638
O 6.032 0.378 6.892
O 3.171 8.608 3.683
O 1.301 5.214 7.845
O 4.198 9.611 1.200
O 7.944 6.039 1.000
O 8.044 5.907 8.244
O 5.451 5.495 8.653
O 1.460 8.875 1.707
O 3.602 3.546 4.727
O 6.177 1.558 3.956
O 3.472 0.129 8.100
O 6.207 4.403 3.938
O 8.625 8.707 2.907
O 6.638 2.944 8.897
O 3.837 3.283 8.904
O 0.567 0.859 3.599
O 3.682 5.591 6.552
O 9.195 5.382 3.275
O 1.864 0.483 6.114
O 4.380 6.238 4.083
O 1.301 1.524 1.276
O 3.632 3.799 1.893
O 0.968 5.866 1.045
O 1.184 2.163 8.931
O 5.611 0.387 9.691
O 5.972 8.587 4.021
O 3.776 6.822 0.960
O 6.127 6.052 6.126
O 1.215 3.466 3.197
Al 4.904 4.792 5.220
Al 2.938 8.962 7.361
Al 7.830 2.413 0.301
Al 1.978 0.086 2.443
Al 4.904 6.773 7.373
Al 0.000 4.239 4.605
Al 0.000 2.242 2.435
Al 6.870 6.580 9.554
```



[3]
Computed, not measured: a relaxed Na3AlAs2O8 crystal at the PBEsol level of DFT.

Symmetry: No. 14
E_tot in eV/atom: -6.167

Structure (extended XYZ):
```
56
Lattice="-1.438 -4.156 4.953 7.763 3.744 3.987 -6.600 8.305 5.052" Properties=species:S:1:pos:R:3 pbc="T T T"
Na 0.532 3.489 5.741
Na 3.529 2.645 4.385
Na -0.807 4.403 8.252
Na -0.098 10.147 8.230
Na -1.784 5.513 4.556
Na -0.177 -2.255 5.762
Na -3.804 5.247 9.607
Na 1.386 5.474 10.599
Na -1.661 2.419 3.393
Na 6.322 2.961 6.274
Na 1.510 2.380 9.436
Na -6.597 4.932 7.719
As 1.347 0.269 3.664
As -0.474 0.545 7.430
As 4.429 1.132 8.642
As -4.703 6.760 5.350
As -3.337 3.025 6.676
As -1.622 7.624 10.328
As 0.199 7.348 6.562
As 3.063 4.867 7.316
O -0.371 6.911 11.190
O 5.950 1.426 7.992
O 1.743 1.207 5.105
O -3.396 6.338 6.427
O 3.122 1.555 7.565
O -6.224 6.467 6.000
O -1.480 9.249 9.923
O 0.990 -0.435 7.389
O -4.446 5.573 4.074
O -3.789 8.843 7.788
O -2.190 3.385 5.501
O -0.191 3.777 10.343
O -1.141 0.162 5.863
O 3.515 -0.950 6.205
O 5.582 3.744 4.277
O 2.751 4.399 5.735
O 3.368 6.594 7.274
O -1.265 8.327 6.604
O 1.915 4.507 8.491
O -3.642 1.299 6.718
O -0.084 4.116 3.649
O -0.281 5.745 6.416
O -2.018 6.686 8.887
O 4.649 4.306 7.846
O -4.924 3.586 6.147
O -5.856 4.149 9.715
O 0.866 7.731 8.129
O 1.206 -1.356 4.069
O 0.097 0.982 2.802
O -3.025 3.493 8.257
O 0.006 2.148 7.577
O 4.171 2.319 9.918
Al 2.612 7.718 8.409
Al -2.887 0.175 5.583
Al 2.352 0.338 6.537
Al -2.627 7.554 7.455
```



[4]
Computed, not measured: a relaxed NaAlAs2O7 crystal at the PBEsol level of DFT.

Symmetry: No. 14
E_tot in eV/atom: -6.541

Structure (extended XYZ):
```
44
Lattice="6.923 0.000 0.015 0.000 8.186 0.000 -2.887 0.000 9.151" Properties=species:S:1:pos:R:3 pbc="T T T"
O 0.735 6.174 8.227
O 3.301 2.011 0.939
O 1.795 3.349 8.113
O 4.447 0.872 5.732
O 3.238 0.744 3.538
O 1.194 0.815 7.921
O 0.245 6.697 0.739
O 5.234 2.604 3.851
O 3.047 7.143 7.201
O -1.279 7.690 7.791
O 1.857 2.081 5.515
O -1.198 5.582 5.315
O 0.164 4.588 3.215
O -0.455 3.050 6.541
O 3.791 1.489 8.427
O 0.798 7.442 5.629
O 2.178 6.104 3.651
O 5.315 0.496 1.375
O 5.891 3.221 1.156
O 0.988 1.043 1.965
O -1.855 4.965 8.010
O 1.398 4.908 5.821
O -0.412 7.314 3.435
O 2.841 7.370 1.245
O 3.872 3.597 5.951
O 2.241 4.837 1.053
O 4.491 5.136 2.625
O 2.638 3.277 3.345
Al 4.975 1.848 0.069
Al 0.504 5.941 4.522
Al -0.940 6.337 9.098
Al 3.532 2.244 4.644
As 4.231 0.289 7.315
As -0.196 7.896 1.852
As 2.776 0.719 1.914
As -1.639 4.382 6.427
As 5.675 3.803 2.739
As 1.333 3.373 6.490
As 1.259 7.466 7.252
As 2.703 4.812 2.677
Na 1.256 2.952 0.268
Na 4.223 7.044 4.323
Na -0.187 1.141 4.843
Na 2.780 5.234 8.899
```



[5]
Computed, not measured: a relaxed NaAlAs2Se crystal at the PBEsol level of DFT.

Symmetry: No. 123
E_tot in eV/atom: -3.839

Structure (extended XYZ):
```
5
Lattice="4.832 0.000 0.000 0.000 4.832 0.000 0.000 0.000 5.088" Properties=species:S:1:pos:R:3 pbc="T T T"
Al 0.000 0.000 0.000
As 2.416 0.000 0.000
As 0.000 2.416 0.000
Na 2.416 2.416 2.544
Se 0.000 0.000 2.544
```



[6]
Computed, not measured: a relaxed AlNi2As crystal at the PBEsol level of DFT.

Symmetry: No. 139
Energy of formation from the pure elements in eV/atom: -0.278
E_tot in eV/atom: -5.656

Structure (extended XYZ):
```
4
Lattice="3.865 0.000 0.000 -1.932 3.803 0.031 0.000 1.937 3.345" Properties=species:S:1:pos:R:3 pbc="T T T"
Al 0.000 0.000 0.000
As 1.932 0.968 1.672
Ni 0.000 2.386 0.852
Ni 1.932 3.354 2.524
```



[7]
Computed, not measured: a relaxed AlNiAs2 crystal at the PBEsol level of DFT.

Symmetry: No. 47
Energy of formation from the pure elements in eV/atom: 0.043
E_tot in eV/atom: -5.072

Structure (extended XYZ):
```
4
Lattice="-2.788 0.067 -0.423 -0.204 -3.061 0.865 -0.939 1.896 6.486" Properties=species:S:1:pos:R:3 pbc="T T T"
As -0.737 1.488 5.091
As -0.202 0.408 1.395
Al -1.966 -0.549 3.464
Ni -1.496 -1.497 0.221
```



[8]
Computed, not measured: a relaxed Al2NiAs crystal at the PBEsol level of DFT.

Symmetry: No. 38
Energy of formation from the pure elements in eV/atom: -0.247
E_tot in eV/atom: -5.109

Structure (extended XYZ):
```
4
Lattice="3.579 0.000 0.000 0.000 3.749 0.000 -1.790 0.000 4.449" Properties=species:S:1:pos:R:3 pbc="T T T"
Al 0.000 1.875 2.391
Al 1.790 0.000 4.251
Ni 1.790 1.875 0.347
As 1.790 0.000 1.767
```



[9]
Computed, not measured: a relaxed AlNi4As crystal at the PBEsol level of DFT.

Symmetry: No. 216
Energy of formation from the pure elements in eV/atom: -0.080
E_tot in eV/atom: -5.718

Structure (extended XYZ):
```
6
Lattice="-1.306 1.950 -4.045 -4.465 1.215 -0.676 -1.198 4.518 -0.139" Properties=species:S:1:pos:R:3 pbc="T T T"
Ni -4.354 4.800 -3.037
Ni -3.702 3.827 -1.018
Ni -3.756 2.545 -2.967
Ni -2.125 4.194 -2.699
As 0.000 0.000 0.000
Al -1.742 1.921 -1.215
```



[10]
Computed, not measured: a relaxed AlNiAs2 crystal at the PBEsol level of DFT.

Symmetry: No. 166
Energy of formation from the pure elements in eV/atom: -0.138
E_tot in eV/atom: -5.253

Structure (extended XYZ):
```
4
Lattice="-3.520 0.360 0.443 -1.525 -1.015 3.059 -0.859 5.134 3.353" Properties=species:S:1:pos:R:3 pbc="T T T"
Al 0.000 0.000 0.000
As -4.457 3.173 5.065
As -1.447 1.307 1.790
Ni -2.952 2.240 3.427
```